# Dy3Tm2Sb2 | Alexandria via LeMat-Bulk | PBE | relaxed
data_Dy3Tm2Sb2
_symmetry_space_group_name_H-M 'P 1'
_symmetry_Int_Tables_number 1
_cell_length_a 4.212
_cell_length_b 6.409
_cell_length_c 8.378
_cell_angle_alpha 107.26
_cell_angle_beta 90.00
_cell_angle_gamma 109.18
loop_
_symmetry_equiv_pos_as_xyz
'x,y,z'
loop_
_atom_site_label
_atom_site_fract_x
_atom_site_fract_y
_atom_site_fract_z
_atom_site_occupancy
Dy1 0.500 0.000 0.000 1
Dy2 0.625 0.251 0.445 1
Dy3 0.375 0.749 0.555 1
Sb1 0.177 0.354 0.190 1
Sb2 0.823 0.646 0.810 1
Tm1 0.130 0.261 0.780 1
Tm2 0.870 0.739 0.220 1
# Formation energy (no corrections) (eV/f.u.): -4.3
# VASP energy (Ry/atom): -0.370
# Spin magnetization (μB/atom): 0.000
# Crystal system: monoclinic